An optimized crystal structure of AlCr, computed with PBE.

## Properties
- DFT formation energy: 0.221 eV per atom
- N(E_F): 1.42 states/eV/f.u.
- SG: P6_3/mmc, No. 194

a = 4.253 Å, b = 4.253 Å, c = 7.135 Å
α = 90.00°, β = 90.00°, γ = 120.00°
Fractional coordinates of all 8 atoms:
Al 0.000 0.000 0.250
Al 0.000 0.000 0.750
Al 0.333 0.667 0.250
Al 0.667 0.333 0.750
Cr 0.333 0.667 0.591
Cr 0.333 0.667 0.909
Cr 0.667 0.333 0.091
Cr 0.667 0.333 0.409